Below is a relaxed VAuSe2N crystal, with properties calculated at the GGA-PBE level.

Output
Space-group type: P4/mmm
E above lowest polymorph in meV per atom: 1089
Fermi-level density of states in states/eV per atom: 1.418
Formation energy without anion corrections in meV per atom: 1301

```
VAuSe2N
1.0
5.246 0.000 0.000
0.000 5.246 0.000
0.000 0.000 3.738
V Au Se N
1 1 2 1
Direct
0.000 0.000 0.000
0.500 0.500 0.500
0.000 0.500 0.500
0.500 0.000 0.500
0.500 0.500 0.000
```